Density functional theory data (PBE) for a geometry-optimized SiO2 structure.

The space group is I4_1/amd (No. 141, origin choice 2) and the conventional cell measures 9.835, 9.835 and 10.224 Å, with angles of 90.00, 90.00 and 90.00 degrees. The asymmetric unit holds Si at (0.160, 0.090, 0.375), O at (0.000, 0.064, 0.341) and O at (0.206, 0.000, 0.500).

The total magnetization comes out at 0.00 μB per formula unit. The total energy is -379.36 eV/cell.


Density functional theory data (PBE) for a geometry-optimized SiO2 structure.

The space group is P4_2/mcm (No. 132) and the conventional cell measures 8.238, 8.238 and 5.564 Å, with angles of 90.00, 90.00 and 90.00 degrees. The asymmetric unit holds Si at (0.069, 0.314, 0.000), O at (0.000, 0.237, 0.250), O at (0.000, 0.500, 0.000) and O at (0.266, 0.266, 0.000).

The total magnetization comes out at 0.00 μB per formula unit. The total energy is -185.16 eV/cell.


Density functional theory data (PBE) for a geometry-optimized SiO2 structure.

The space group is Ima2 (No. 46) and the conventional cell measures 9.871, 8.668 and 5.172 Å, with angles of 90.00, 90.00 and 90.00 degrees. The asymmetric unit holds Si at (0.091, 0.151, 0.000), O at (0.000, 0.000, 0.057), O at (0.056, 0.216, 0.713) and O at (0.250, 0.103, 0.020).

The total magnetization comes out at 0.00 μB per formula unit. The total energy is -189.76 eV/cell.


Density functional theory data (PBE) for a geometry-optimized SiO4 structure.

The space group is Pm-3m (No. 221) and the conventional cell measures 3.537, 3.537 and 3.537 Å, with angles of 90.00, 90.00 and 90.00 degrees. The asymmetric unit holds Si at (0.000, 0.000, 0.000), O at (0.000, 0.000, 0.500) and O at (0.500, 0.500, 0.500).

The energy relative to the lowest polymorph listed for this composition is 0.729 eV per atom. The total magnetization comes out at 4.01 μB per formula unit. The total energy is -28.10 eV/cell.


Density functional theory data (PBE) for a geometry-optimized SiO2 structure.

The space group is Pc (No. 7) and the conventional cell measures 4.295, 4.253 and 8.332 Å, with angles of 90.00, 120.34 and 90.00 degrees. The asymmetric unit holds Si at (0.000, 0.053, 0.000), Si at (0.717, 0.357, 0.625), O at (0.024, 0.252, 0.840), O at (0.356, 0.186, 0.613), O at (0.682, 0.210, 0.433) and O at (0.880, 0.291, 0.120).

The total magnetization comes out at 0.00 μB per formula unit. The total energy is -90.65 eV/cell.


Density functional theory data (PBE) for a geometry-optimized SiO2 structure.

The space group is I-43m (No. 217) and the conventional cell measures 8.878, 8.878 and 8.878 Å, with angles of 90.00, 90.00 and 90.00 degrees. The asymmetric unit holds Si at (0.000, 0.250, 0.500) and O at (0.036, 0.354, 0.646).

The total magnetization comes out at 0.00 μB per formula unit. The total energy is -284.70 eV/cell.